No. 1
Density functional theory data (PBE) for an optimized crystal structure of NpMnRu2.

a = 4.127 Å, b = 4.127 Å, c = 3.690 Å
α = 90.00°, β = 90.00°, γ = 90.00°
Space group P4/mmm (No. 123)
Unique sites:
1 Np 0.000 0.000 0.000 x1
2 Mn 0.500 0.500 0.000 x1
3 Ru 0.000 0.500 0.500 x2

Values from the calculation:
The density of states at the Fermi level is 1.762 states/eV per atom. Its energy of formation is -56 meV per atom. Its density is 13.1 g/cm3. For the calculated total energy, the calculation gives -0.7513 Ry/atom.

---

No. 2
Density functional theory data (PBE) for an optimized crystal structure of ZrAlRh.

a = 4.4045 Å, b = 4.4045 Å, c = 3.0865 Å
α = 90.00°, β = 90.00°, γ = 120.00°
Space group P-6m2 (No. 187)
Unique sites:
1 Zr 0.0000 0.0000 0.0000 x1
2 Al 0.6667 0.3333 0.5000 x1
3 Rh 0.3333 0.6667 0.5000 x1

Values from the calculation:
The density of states at the Fermi level is 0.912 states/eV per atom. Its energy of formation is -721 meV per atom. Its density is 7.1 g/cm3. For the calculated total energy, the calculation gives -0.5342 Ry/atom.

---

No. 3
Density functional theory data (PBE) for an optimized crystal structure of KBS3.

a = 4.446 Å, b = 4.446 Å, c = 4.446 Å
α = 90.00°, β = 90.00°, γ = 90.00°
Space group Pm-3m (No. 221)
Unique sites:
1 K 0.000 0.000 0.000 x1
2 B 0.500 0.500 0.500 x1
3 S 0.000 0.500 0.500 x3

Values from the calculation:
The density of states at the Fermi level is 0.767 states/eV per atom. As for the formation energy without anion corrections: 0.3370 eV/atom. Its density is 2.8 g/cm3. For the calculated total energy, the calculation gives -0.2715 Ry/atom.

---

No. 4
Density functional theory data (PBE) for an optimized crystal structure of ZnTc2Br.

a = 8.755 Å, b = 2.974 Å, c = 5.195 Å
α = 90.00°, β = 103.19°, γ = 90.00°
Space group C2/m (No. 12)
Unique sites:
1 Zn 0.000 0.000 0.000 x2
2 Tc 0.245 0.000 0.793 x4
3 Br 0.000 0.500 0.500 x2

Values from the calculation:
The density of states at the Fermi level is 1.120 states/eV per atom. As for the formation energy without anion corrections: 0.6757 eV/atom. Its density is 8.6 g/cm3. For the calculated total energy, the calculation gives -0.3854 Ry/atom.

---

No. 5
Density functional theory data (PBE) for an optimized crystal structure of AcCuGe.

a = 4.3468 Å, b = 4.3468 Å, c = 4.4170 Å
α = 90.00°, β = 90.00°, γ = 120.00°
Space group P-6m2 (No. 187)
Unique sites:
1 Ac 0.0000 0.0000 0.0000 x1
2 Cu 0.6667 0.3333 0.5000 x1
3 Ge 0.3333 0.6667 0.5000 x1

Values from the calculation:
The density of states at the Fermi level is 0.534 states/eV per atom. Its energy of formation is -584 meV per atom. Its density is 8.3 g/cm3. For the calculated total energy, the calculation gives -0.3571 Ry/atom.

---

No. 6
Density functional theory data (PBE) for an optimized crystal structure of KBiP2S7.

a = 9.743 Å, b = 12.800 Å, c = 9.258 Å
α = 90.00°, β = 90.72°, γ = 90.00°
Space group P2_1/c (No. 14)
Unique sites:
1 K 0.112 0.185 0.126 x4
2 Bi 0.348 0.639 0.634 x4
3 P 0.226 0.609 0.986 x4
4 P 0.321 0.034 0.803 x4
5 S 0.121 0.711 0.111 x4
6 S 0.132 0.559 0.799 x4
7 S 0.177 0.534 0.432 x4
8 S 0.246 0.042 0.585 x4
9 S 0.343 0.188 0.845 x4
10 S 0.410 0.675 0.936 x4
11 S 0.500 0.048 0.186 x4

Values from the calculation:
The density of states at the Fermi level is 0.000 states/eV per atom. As for the formation energy without anion corrections: -0.4857 eV/atom. Its density is 3.1 g/cm3. For the calculated total energy, the calculation gives -0.3343 Ry/atom.

---

No. 7
Density functional theory data (PBE) for an optimized crystal structure of PrPt2Au3.

a = 6.1046 Å, b = 6.1046 Å, c = 21.6704 Å
α = 90.00°, β = 90.00°, γ = 120.00°
Space group R-3m (No. 166, hexagonal axes)
Unique sites:
1 Pr 0.0000 0.0000 0.2257 x6
2 Pt 0.0000 0.0000 0.0000 x3
3 Pt 0.0000 0.5000 0.0000 x9
4 Au 0.0067 0.5033 0.2263 x18

Values from the calculation:
The density of states at the Fermi level is 0.691 states/eV per atom. Its energy of formation is -339 meV per atom. Its density is 16.0 g/cm3. For the calculated total energy, the calculation gives -0.3519 Ry/atom.

---

No. 8
Density functional theory data (PBE) for an optimized crystal structure of Os2W.

a = 10.133 Å, b = 2.776 Å, c = 6.575 Å
α = 90.00°, β = 104.44°, γ = 90.00°
Space group C2/m (No. 12)
Unique sites:
1 Os 0.030 0.000 0.305 x4
2 Os 0.137 0.500 0.027 x4
3 W 0.189 0.500 0.648 x4

Values from the calculation:
The density of states at the Fermi level is 0.600 states/eV per atom. Its energy of formation is -1 meV per atom. Its density is 20.9 g/cm3. For the calculated total energy, the calculation gives -0.8676 Ry/atom.

---

No. 9
Density functional theory data (PBE) for an optimized crystal structure of TlReBr2.

a = 10.658 Å, b = 3.264 Å, c = 7.401 Å
α = 90.00°, β = 113.01°, γ = 90.00°
Space group Cm (No. 8)
Unique sites:
1 Tl 0.000 0.000 0.000 x2
2 Re 0.233 0.500 0.000 x2
3 Br 0.170 0.000 0.708 x2
4 Br 0.328 0.000 0.292 x2

Values from the calculation:
The density of states at the Fermi level is 0.471 states/eV per atom. As for the formation energy without anion corrections: 0.3180 eV/atom. Its density is 7.7 g/cm3. For the calculated total energy, the calculation gives -0.3103 Ry/atom.

---

No. 10
Density functional theory data (PBE) for an optimized crystal structure of ZnCoCl2.

a = 6.502 Å, b = 6.502 Å, c = 6.502 Å
α = 90.00°, β = 90.00°, γ = 90.00°
Space group Fm-3m (No. 225)
Unique sites:
1 Zn 0.000 0.000 0.000 x4
2 Co 0.000 0.000 0.500 x4
3 Cl 0.250 0.250 0.250 x8

Values from the calculation:
The density of states at the Fermi level is 1.181 states/eV per atom. As for the formation energy without anion corrections: 0.2686 eV/atom. Its density is 4.7 g/cm3. For the calculated total energy, the calculation gives -0.2021 Ry/atom.

---

No. 11
Density functional theory data (PBE) for an optimized crystal structure of BaVCo2.

a = 6.680 Å, b = 6.680 Å, c = 6.680 Å
α = 90.00°, β = 90.00°, γ = 90.00°
Space group Fm-3m (No. 225)
Unique sites:
1 Ba 0.000 0.000 0.000 x4
2 V 0.000 0.000 0.500 x4
3 Co 0.250 0.250 0.250 x8

Values from the calculation:
The density of states at the Fermi level is 1.733 states/eV per atom. Its energy of formation is 1010 meV per atom. Its density is 6.8 g/cm3. For the calculated total energy, the calculation gives -0.3898 Ry/atom.

---

No. 12
Density functional theory data (PBE) for an optimized crystal structure of Tb6RuRh3.

a = 8.040 Å, b = 12.395 Å, c = 4.757 Å
α = 90.00°, β = 90.00°, γ = 90.00°
Space group Pnnm (No. 58)
Unique sites:
1 Tb 0.006 0.240 0.000 x4
2 Tb 0.151 0.406 0.500 x4
3 Tb 0.179 0.076 0.500 x4
4 Ru 0.000 0.500 0.000 x2
5 Rh 0.000 0.000 0.000 x2
6 Rh 0.163 0.838 0.500 x4

Values from the calculation:
The density of states at the Fermi level is 0.574 states/eV per atom. Its energy of formation is -528 meV per atom. Its density is 9.6 g/cm3. For the calculated total energy, the calculation gives -0.4733 Ry/atom.

---

No. 13
Density functional theory data (PBE) for an optimized crystal structure of Li2TmSc.

a = 3.569 Å, b = 3.569 Å, c = 7.124 Å
α = 90.00°, β = 90.00°, γ = 90.00°
Space group P4/mmm (No. 123)
Unique sites:
1 Li 0.000 0.000 0.236 x2
2 Tm 0.500 0.500 0.500 x1
3 Sc 0.500 0.500 0.000 x1

Values from the calculation:
The density of states at the Fermi level is 0.969 states/eV per atom. Its energy of formation is 188 meV per atom. Its density is 4.2 g/cm3. For the calculated total energy, the calculation gives -0.2550 Ry/atom.